Below is a relaxed Hf2NiAu crystal, with properties calculated at the PBE-GGA level.

The value obtained for the offset from the most stable computed form is 657 meV per atom. The value obtained for the calculated volume is 20.0 Å³ per atom. The formation energy comes out at 0.24 eV per atom. The calculation puts the density at 12.7 Mg/m³. For the total moment, the calculation gives 0.00 μB per formula unit.

The space group is I-42d (No. 122) and the conventional cell measures 4.214, 4.214 and 18.040 Å, with angles of 90.00, 90.00 and 90.00 degrees. The distinct sites, in fractional coordinates, are Hf at (0.242, 0.250, 0.125), Ni at (0.000, 0.000, 0.000) and Au at (0.000, 0.000, 0.500).